Computed, not measured: an optimized crystal structure of YRe4 at the PBE level of DFT.

Lattice parameters (Å, degrees): 5.088 5.088 5.088 109.47 109.47 109.47
Sites, in units of the cell vectors:
Re (0.000, 0.000, 0.500)
Re (0.500, 0.000, 0.000)
Re (0.500, 0.500, 0.500)
Re (0.000, 0.500, 0.000)
Y (0.000, 0.000, 0.000)

Computed properties:
calculated volume = 101.4 Å³/f.u.
total moment = 0.0 μB per formula unit
DFT formation energy = 2.63 eV per atom
distance to the lowest polymorph of the same formula = 12.94 eV/f.u.